Here is RbMgMn2Cl at its PBEsol-relaxed geometry from Alexandria. Energies are from meta-GGA SCAN.

a b c (Å): 4.7310 4.7310 5.7566
angles (deg): 90.00 90.00 90.00
Sites, in units of the cell vectors:
Rb 0.0000 0.0000 0.0000
Mg 0.5000 0.5000 0.0000
Mn 0.0000 0.5000 0.5000
Mn 0.5000 0.0000 0.5000
Cl 0.0000 0.0000 0.5000

Summary:
DOS(E_F) = 2.501 states/eV/cell
Total energy = -68.2 eV for the cell shown
Space group = P4/mmm
Volume = 25.77 Å³ per atom
Formation energy without anion corrections = 404 meV/atom